Entry 1:
Below is crystalline YHo3Tl2S at its relaxed geometry, with properties calculated at the PBE-GGA level.

Cell and atoms, written as CIF:
```
data_YHo3Tl2S
_chemical_formula_sum 'Y2 Ho6 Tl4 S2'
_cell_length_a 5.0466
_cell_length_b 5.0609
_cell_length_c 15.9033
_cell_angle_alpha 90.00
_cell_angle_beta 90.00
_cell_angle_gamma 90.00
_space_group_name_H-M_alt 'I m m m'
_space_group_IT_number 71
_space_group_name_Hall '-I 2 2'
loop_
_atom_site_label
_atom_site_type_symbol
_atom_site_fract_x
_atom_site_fract_y
_atom_site_fract_z
_atom_site_occupancy
Y1 Y 0.0000 0.0000 0.0000 1
Ho1 Ho 0.0000 0.0000 0.5000 1
Ho2 Ho 0.0000 0.5000 0.1723 1
Tl1 Tl 0.0000 0.5000 0.3666 1
S1 S 0.0000 0.5000 0.0000 1
```

Output
**Formation energy without anion corrections**: -641 meV/atom
**N(E_F)**: 4.45 states/eV/f.u.
**Total DFT energy (no corrections)**: -67.1 eV for the cell shown

---

Entry 2:
Below is crystalline Na2ScIrN at its relaxed geometry, with properties calculated at the PBE-GGA level.

Cell and atoms, written as CIF:
```
data_Na2ScIrN
_chemical_formula_sum 'Na2 Sc1 Ir1 N1'
_cell_length_a 5.7146
_cell_length_b 5.7146
_cell_length_c 3.6905
_cell_angle_alpha 90.00
_cell_angle_beta 90.00
_cell_angle_gamma 90.00
_space_group_name_H-M_alt 'P 4/m m m'
_space_group_IT_number 123
_space_group_name_Hall '-P 4 2'
loop_
_atom_site_label
_atom_site_type_symbol
_atom_site_fract_x
_atom_site_fract_y
_atom_site_fract_z
_atom_site_occupancy
Na1 Na 0.0000 0.5000 0.0000 1
Sc1 Sc 0.0000 0.0000 0.5000 1
Ir1 Ir 0.5000 0.5000 0.0000 1
N1 N 0.5000 0.5000 0.5000 1
```

Output
**Formation energy without anion corrections**: 546 meV/atom
**N(E_F)**: 5.02 states/eV/f.u.
**Total DFT energy (no corrections)**: -23.4 eV for the cell shown